La2BWF after structural relaxation. Source: the Alexandria database, functional PBE+U.

POSCAR file:
```
La2BWF
1.0
5.509 0.000 0.000
0.000 5.509 0.000
0.000 0.000 3.947
La B W F
2 1 1 1
Direct
0.000 0.500 0.000
0.500 0.000 0.000
0.000 0.000 0.000
0.500 0.500 0.500
0.000 0.000 0.500
```

Results
**Size of the total moment**: 3.32 μB/cell
**E_tot**: -4.73 eV/atom